[1]
# MgTiB2

MgTiB2 after structural relaxation (PBE, Alexandria).

Unit cell a=5.238 b=5.238 c=10.285 alpha=90.00 beta=90.00 gamma=90.00
Space group I-42d (No. 122)
Asymmetric unit:
1 Mg 0.000 0.000 0.000 [4 per cell]
2 Ti 0.000 0.000 0.500 [4 per cell]
3 B 0.212 0.250 0.625 [8 per cell]

The electronic total energy comes out at -4.477 eV/atom. The calculation puts the formation energy at 1234 meV per atom. The crystal system is tetragonal.

[2]
# CeHo2Hf

CeHo2Hf after structural relaxation (PBE, Alexandria).

Unit cell a=4.766 b=4.766 c=4.898 alpha=90.00 beta=90.00 gamma=90.00
Space group P4/mmm (No. 123)
Asymmetric unit:
1 Ce 0.000 0.000 0.000 [1 per cell]
2 Ho 0.000 0.500 0.500 [2 per cell]
3 Hf 0.500 0.500 0.000 [1 per cell]

The electronic total energy comes out at -6.116 eV/atom. The calculation puts the formation energy at 145 meV per atom. The crystal system is tetragonal. As for the excess energy over the best structure of this formula in the dataset: 9 meV/atom.

The following density values (in g/cm³) correspond, in order, to the records above: 2.2; 9.7.